Record 1
{
  "formula": "MgAlCdNi",
  "functional": "GGA-PBE",
  "state": "optimized geometry",
  "spacegroup": "F-43m",
  "total_magnetization_mub_per_atom": 0.001,
  "energy_ev_per_fu": -11.99,
  "lattice_angstrom": [[-2.217, -3.284, 2.123], [-4.258, 0.634, 1.293], [-3.331, -2.178, -2.089]],
  "species": ["Al", "Ni", "Mg", "Cd"],
  "fractional_positions": [[0.000, 0.000, 0.000], [0.750, 0.750, 0.750], [0.250, 0.250, 0.250], [0.500, 0.500, 0.500]]
}



Record 2
{
  "formula": "Pr2TmMg3Al2Cd",
  "functional": "GGA-PBE",
  "state": "optimized geometry",
  "spacegroup": "Amm2",
  "total_magnetization_mub_per_atom": 0.000,
  "energy_ev_per_fu": -29.82,
  "lattice_angstrom": [[-3.766, -2.095, -1.735], [1.872, -6.313, 3.560], [-4.375, 4.953, 3.515]],
  "species": ["Pr", "Pr", "Cd", "Tm", "Mg", "Mg", "Mg", "Al", "Al"],
  "fractional_positions": [[0.000, 0.429, 0.004], [0.000, 0.004, 0.429], [0.000, 0.988, 0.988], [0.000, 0.574, 0.574], [0.500, 0.243, 0.243], [0.500, 0.754, 0.000], [0.500, 0.000, 0.754], [0.500, 0.342, 0.666], [0.500, 0.666, 0.342]]
}



Record 3
{
  "formula": "Tm3Mg3AlCd2",
  "functional": "GGA-PBE",
  "state": "optimized geometry",
  "spacegroup": "P-62m",
  "total_magnetization_mub_per_atom": 0.001,
  "energy_ev_per_fu": -25.61,
  "lattice_angstrom": [[-0.436, 3.273, -6.738], [-2.981, -6.803, 1.066], [-3.846, 1.866, 1.156]],
  "species": ["Al", "Cd", "Cd", "Mg", "Mg", "Mg", "Tm", "Tm", "Tm"],
  "fractional_positions": [[0.000, 0.000, 0.000], [0.667, 0.333, 0.500], [0.333, 0.667, 0.500], [0.240, 0.000, 0.500], [0.000, 0.240, 0.500], [0.760, 0.760, 0.500], [0.416, 0.416, 0.000], [0.000, 0.584, 0.000], [0.584, 0.000, 0.000]]
}



Record 4
{
  "formula": "Y2TmMg3Al2Cd",
  "functional": "GGA-PBE",
  "state": "optimized geometry",
  "spacegroup": "Amm2",
  "total_magnetization_mub_per_atom": 0.000,
  "energy_ev_per_fu": -33.33,
  "lattice_angstrom": [[4.518, 0.000, 0.000], [0.000, 6.396, 3.716], [0.000, -6.396, 3.716]],
  "species": ["Al", "Al", "Cd", "Tm", "Y", "Y", "Mg", "Mg", "Mg"],
  "fractional_positions": [[0.500, 0.334, 0.664], [0.500, 0.664, 0.334], [0.000, 0.003, 0.003], [0.000, 0.430, 0.430], [0.000, 0.999, 0.569], [0.000, 0.569, 0.999], [0.500, 0.246, 0.000], [0.500, 0.000, 0.246], [0.500, 0.754, 0.754]]
}



Record 5
{
  "formula": "Y3Mg3Al2Cd",
  "functional": "GGA-PBE",
  "state": "optimized geometry",
  "spacegroup": "P-62m",
  "total_magnetization_mub_per_atom": 0.003,
  "energy_ev_per_fu": -35.47,
  "lattice_angstrom": [[-3.057, 0.687, -6.774], [5.627, -4.781, 1.088], [-2.951, -3.246, 1.003]],
  "species": ["Mg", "Mg", "Mg", "Y", "Y", "Y", "Al", "Al", "Cd"],
  "fractional_positions": [[0.246, 0.000, 0.500], [0.754, 0.754, 0.500], [0.000, 0.246, 0.500], [0.000, 0.570, 0.000], [0.570, 0.000, 0.000], [0.430, 0.430, 0.000], [0.333, 0.667, 0.500], [0.667, 0.333, 0.500], [0.000, 0.000, 0.000]]
}



Record 6
{
  "formula": "AlCd2Mo",
  "functional": "GGA-PBE",
  "state": "optimized geometry",
  "spacegroup": "F-43m",
  "total_magnetization_mub_per_atom": 0.192,
  "energy_ev_per_fu": -14.60,
  "lattice_angstrom": [[-1.872, -2.422, 3.520], [-4.214, 1.146, 1.639], [-3.647, -2.803, -0.777]],
  "species": ["Mo", "Al", "Cd", "Cd"],
  "fractional_positions": [[0.250, 0.250, 0.250], [0.500, 0.500, 0.500], [0.000, 0.000, 0.000], [0.750, 0.750, 0.750]]
}



Record 7
{
  "formula": "Nb4AlCdN2",
  "functional": "GGA-PBE",
  "state": "optimized geometry",
  "spacegroup": "P-6m2",
  "total_magnetization_mub_per_atom": 0.000,
  "energy_ev_per_fu": -66.22,
  "lattice_angstrom": [[-0.045, 1.033, 2.942], [1.284, -2.763, -0.663], [12.607, 6.347, -2.035]],
  "species": ["Nb", "Nb", "Nb", "Nb", "N", "N", "Al", "Cd"],
  "fractional_positions": [[0.667, 0.333, 0.844], [0.000, 0.000, 0.674], [0.000, 0.000, 0.326], [0.667, 0.333, 0.156], [0.333, 0.667, 0.757], [0.333, 0.667, 0.243], [0.000, 0.000, 0.000], [0.667, 0.333, 0.500]]
}



Record 8
{
  "formula": "AlCdNO",
  "functional": "GGA-PBE",
  "state": "optimized geometry",
  "spacegroup": "Pmc2_1",
  "energy_ev_per_fu": -22.59,
  "relative_energy_ev_per_atom": 0.102,
  "lattice_angstrom": [[-0.159, -2.089, -2.472], [-1.901, -3.884, 3.404], [-5.473, 1.717, -1.098]],
  "species": ["Cd", "Cd", "N", "N", "O", "O", "Al", "Al"],
  "fractional_positions": [[0.500, 0.496, 0.817], [0.500, 0.996, 0.183], [0.000, 0.834, 0.380], [0.000, 0.334, 0.620], [0.500, 0.921, 0.800], [0.500, 0.421, 0.200], [0.000, 0.003, 0.650], [0.000, 0.503, 0.350]]
}